Compound: HgPb2Br
Source: Alexandria via LeMat-Bulk
Functional: PBE-GGA
Structure: optimized geometry

Geometry as POSCAR:
```
HgPb2Br
1.0
6.771 0.026 0.000
3.710 5.664 0.000
-5.240 -2.845 3.208
Pb Hg Br
2 1 1
Direct
0.000 0.000 0.000
0.250 0.750 0.500
0.750 0.250 0.500
0.500 0.500 0.000
```

Results
Formation energy (no corrections) ... -0.1091 eV per atom